No. 1
# NbAg2MoN (PBE, relaxed)
data_NbAg2MoN
_chemical_formula_sum 'Nb1 Ag2 Mo1 N1'
_space_group_name_H-M_alt 'P 1'
_space_group_IT_number 1
_cell_length_a 4.419
_cell_length_b 4.049
_cell_length_c 4.419
_cell_angle_alpha 90.00
_cell_angle_beta 90.00
_cell_angle_gamma 90.00
loop_
_space_group_symop_operation_xyz
'x,y,z'
loop_
_atom_site_label
_atom_site_fract_x
_atom_site_fract_y
_atom_site_fract_z
Mo1 0.000 0.500 0.000
Nb1 0.500 0.500 0.500
Ag1 0.000 0.000 0.500
Ag2 0.500 0.000 0.000
N1 0.000 0.000 0.000
# - total DFT energy (no corrections) (eV/atom) = -6.252
# - symmetry = P4/mmm, No. 123

***

No. 2
# K3TaBr2Cl6 (PBE, relaxed)
data_K3TaBr2Cl6
_chemical_formula_sum 'K3 Ta1 Br2 Cl6'
_space_group_name_H-M_alt 'P 1'
_space_group_IT_number 1
_cell_length_a 5.890
_cell_length_b 9.043
_cell_length_c 9.298
_cell_angle_alpha 119.10
_cell_angle_beta 90.58
_cell_angle_gamma 90.00
loop_
_space_group_symop_operation_xyz
'x,y,z'
loop_
_atom_site_label
_atom_site_fract_x
_atom_site_fract_y
_atom_site_fract_z
K1 0.000 0.500 0.000
K2 0.500 0.500 0.500
K3 0.500 0.000 0.500
Ta1 0.500 0.000 0.000
Br1 0.160 0.685 0.371
Br2 0.840 0.315 0.629
Cl1 0.730 0.248 0.124
Cl2 0.270 0.752 0.876
Cl3 0.733 0.882 0.765
Cl4 0.267 0.118 0.235
Cl5 0.270 0.125 0.876
Cl6 0.730 0.875 0.124
# - total DFT energy (no corrections) (eV/atom) = -4.018
# - symmetry = C2/m, No. 12